The following is a PBE+U calculation of a relaxed structure of CrInN2O, from Alexandria.

DOS(E_F) = 2.8 states/eV/f.u.
E_tot = -0.1734 hartree per atom

abc: 4.2168 4.2168 4.1433
angles: 90.00 90.00 90.00
Fractional coordinates of all 5 atoms:
Cr 0.5000 0.5000 0.5000
N 0.0000 0.5000 0.0000
N 0.5000 0.0000 0.0000
O 0.0000 0.0000 0.5000
In 0.0000 0.0000 0.0000

The following is a PBE+U calculation of a relaxed structure of CrInN2O, from Alexandria.

DOS(E_F) = 2.3 states/eV/f.u.
E_tot = -0.2166 hartree per atom

abc: 3.7218 3.7218 4.2846
angles: 90.00 90.00 90.00
Fractional coordinates of all 5 atoms:
Cr 0.0000 0.0000 0.0000
N 0.0000 0.5000 0.0000
N 0.5000 0.0000 0.0000
O 0.0000 0.0000 0.5000
In 0.5000 0.5000 0.5000

- What is the formula in the second record?
  CrInN2O